Record 1
DFT (PBE-GGA) results for an optimized crystal structure of YMg2NpO8.

Values from the calculation:
Formation energy from raw total energies: -2.46 eV/atom

Structure (CIF):
```
data_YMg2NpO8
_chemical_formula_sum 'Y1 Mg2 Np1 O8'
_cell_length_a 4.667
_cell_length_b 6.961
_cell_length_c 4.741
_cell_angle_alpha 90.00
_cell_angle_beta 91.30
_cell_angle_gamma 90.00
_symmetry_space_group_name_H-M 'P 1 2/m 1'
_symmetry_Int_Tables_number 10
loop_
_symmetry_equiv_pos_as_xyz
'x,y,z'
'-x,-y,-z'
'-x,y,-z'
'x,-y,z'
loop_
_atom_site_label
_atom_site_type_symbol
_atom_site_fract_x
_atom_site_fract_y
_atom_site_fract_z
Y1 Y 0.000 0.000 0.000
Mg1 Mg 0.500 0.277 0.500
Np1 Np 0.000 0.500 0.000
O1 O 0.209 0.269 0.828
O2 O 0.279 0.500 0.317
O3 O 0.353 0.000 0.420
```


Record 2
DFT (PBE-GGA) results for an optimized crystal structure of YMgNpO6.

Values from the calculation:
Formation energy from raw total energies: -2.87 eV/atom

Structure (CIF):
```
data_YMgNpO6
_chemical_formula_sum 'Y2 Mg2 Np2 O12'
_cell_length_a 5.3897
_cell_length_b 5.3897
_cell_length_c 9.7566
_cell_angle_alpha 90.00
_cell_angle_beta 90.00
_cell_angle_gamma 120.00
_symmetry_space_group_name_H-M 'P -3 1 c'
_symmetry_Int_Tables_number 163
_symmetry_space_group_name_Hall '-P 3 2c'
loop_
_atom_site_label
_atom_site_type_symbol
_atom_site_fract_x
_atom_site_fract_y
_atom_site_fract_z
Y1 Y 0.0000 0.0000 0.0000
Mg1 Mg 0.3333 0.6667 0.2500
Np1 Np 0.3333 0.6667 0.7500
O1 O 0.0116 0.3560 0.6376
```


Record 3
DFT (PBE-GGA) results for an optimized crystal structure of MgNp2ZnO8.

Values from the calculation:
Formation energy from raw total energies: -2.38 eV/atom

Structure (CIF):
```
data_MgNp2ZnO8
_chemical_formula_sum 'Mg2 Np4 Zn2 O16'
_cell_length_a 5.164
_cell_length_b 5.164
_cell_length_c 10.484
_cell_angle_alpha 90.00
_cell_angle_beta 90.00
_cell_angle_gamma 90.00
_symmetry_space_group_name_H-M 'I -4'
_symmetry_Int_Tables_number 82
loop_
_symmetry_equiv_pos_as_xyz
'x,y,z'
'y,-x,-z'
'-x,-y,z'
'-y,x,-z'
'x+1/2,y+1/2,z+1/2'
'y+1/2,-x+1/2,-z+1/2'
'-x+1/2,-y+1/2,z+1/2'
'-y+1/2,x+1/2,-z+1/2'
loop_
_atom_site_label
_atom_site_type_symbol
_atom_site_fract_x
_atom_site_fract_y
_atom_site_fract_z
Mg1 Mg 0.000 0.000 0.000
Np1 Np 0.000 0.000 0.500
Np2 Np 0.000 0.500 0.750
Zn1 Zn 0.000 0.500 0.250
O1 O 0.202 0.719 0.909
O2 O 0.204 0.230 0.341
```


Record 4
DFT (PBE-GGA) results for an optimized crystal structure of MgNpZn2O8.

Values from the calculation:
Formation energy from raw total energies: -1.47 eV/atom

Structure (CIF):
```
data_MgNpZn2O8
_chemical_formula_sum 'Mg2 Np2 Zn4 O16'
_cell_length_a 6.669
_cell_length_b 6.669
_cell_length_c 7.003
_cell_angle_alpha 90.00
_cell_angle_beta 90.00
_cell_angle_gamma 90.00
_symmetry_space_group_name_H-M 'I -4 m 2'
_symmetry_Int_Tables_number 119
_symmetry_space_group_name_Hall 'I -4 -2'
loop_
_atom_site_label
_atom_site_type_symbol
_atom_site_fract_x
_atom_site_fract_y
_atom_site_fract_z
Mg1 Mg 0.000 0.000 0.000
Np1 Np 0.000 0.500 0.250
Zn1 Zn 0.000 0.000 0.500
Zn2 Zn 0.000 0.500 0.750
O1 O 0.000 0.213 0.313
O2 O 0.000 0.302 0.952
```


Record 5
DFT (PBE-GGA) results for an optimized crystal structure of Mg2NpZnO6.

Values from the calculation:
Formation energy from raw total energies: -2.44 eV/atom

Structure (CIF):
```
data_Mg2NpZnO6
_chemical_formula_sum 'Mg6 Np3 Zn3 O18'
_cell_length_a 5.3331
_cell_length_b 5.3331
_cell_length_c 14.3924
_cell_angle_alpha 90.00
_cell_angle_beta 90.00
_cell_angle_gamma 120.00
_symmetry_space_group_name_H-M 'R 3'
_symmetry_Int_Tables_number 146
_symmetry_space_group_name_Hall 'R 3'
loop_
_atom_site_label
_atom_site_type_symbol
_atom_site_fract_x
_atom_site_fract_y
_atom_site_fract_z
Mg1 Mg 0.0000 0.0000 0.0000
Mg2 Mg 0.0000 0.0000 0.4911
Np1 Np 0.0000 0.0000 0.6975
Zn1 Zn 0.0000 0.0000 0.2077
O1 O 0.9996 0.7000 0.6039
O2 O 0.0292 0.3547 0.7671
```


Record 6
DFT (PBE-GGA) results for an optimized crystal structure of MgZrNpO6.

Values from the calculation:
Formation energy from raw total energies: -2.89 eV/atom

Structure (CIF):
```
data_MgZrNpO6
_chemical_formula_sum 'Mg2 Zr2 Np2 O12'
_cell_length_a 5.3224
_cell_length_b 5.3224
_cell_length_c 9.3474
_cell_angle_alpha 90.00
_cell_angle_beta 90.00
_cell_angle_gamma 120.00
_symmetry_space_group_name_H-M 'P -3 1 c'
_symmetry_Int_Tables_number 163
_symmetry_space_group_name_Hall '-P 3 2c'
loop_
_atom_site_label
_atom_site_type_symbol
_atom_site_fract_x
_atom_site_fract_y
_atom_site_fract_z
Mg1 Mg 0.3333 0.6667 0.2500
Zr1 Zr 0.0000 0.0000 0.0000
Np1 Np 0.3333 0.6667 0.7500
O1 O 0.0061 0.3357 0.6305
```


Record 7
DFT (PBE-GGA) results for an optimized crystal structure of Mg2ZrNpO8.

Values from the calculation:
Formation energy from raw total energies: -2.56 eV/atom

Structure (CIF):
```
data_Mg2ZrNpO8
_chemical_formula_sum 'Mg2 Zr1 Np1 O8'
_cell_length_a 4.756
_cell_length_b 6.659
_cell_length_c 4.757
_cell_angle_alpha 90.00
_cell_angle_beta 91.72
_cell_angle_gamma 90.00
_symmetry_space_group_name_H-M 'P 1 2/m 1'
_symmetry_Int_Tables_number 10
loop_
_symmetry_equiv_pos_as_xyz
'x,y,z'
'-x,-y,-z'
'-x,y,-z'
'x,-y,z'
loop_
_atom_site_label
_atom_site_type_symbol
_atom_site_fract_x
_atom_site_fract_y
_atom_site_fract_z
Mg1 Mg 0.000 0.246 0.000
Zr1 Zr 0.500 0.000 0.500
Np1 Np 0.500 0.500 0.500
O1 O 0.191 0.000 0.189
O2 O 0.206 0.500 0.205
O3 O 0.309 0.259 0.690
```


Record 8
DFT (PBE-GGA) results for an optimized crystal structure of MgNpOsRh.

Values from the calculation:
Total DFT energy (no corrections): -8.4163 eV/atom

Structure (CIF):
```
data_MgNpOsRh
_chemical_formula_sum 'Mg4 Np4 Os4 Rh4'
_cell_length_a 6.540
_cell_length_b 6.540
_cell_length_c 6.540
_cell_angle_alpha 90.00
_cell_angle_beta 90.00
_cell_angle_gamma 90.00
_symmetry_space_group_name_H-M 'F -4 3 m'
_symmetry_Int_Tables_number 216
_symmetry_space_group_name_Hall 'F -4 2 3'
loop_
_atom_site_label
_atom_site_type_symbol
_atom_site_fract_x
_atom_site_fract_y
_atom_site_fract_z
Mg1 Mg 0.000 0.000 0.000
Np1 Np 0.000 0.000 0.500
Os1 Os 0.250 0.250 0.250
Rh1 Rh 0.250 0.250 0.750
```


Record 9
DFT (PBE-GGA) results for an optimized crystal structure of MgNp4P5.

Values from the calculation:
Total DFT energy (no corrections): -8.8039 eV/atom

Structure (CIF):
```
data_MgNp4P5
_chemical_formula_sum 'Mg3 Np12 P15'
_cell_length_a 3.9247
_cell_length_b 3.9247
_cell_length_c 47.9186
_cell_angle_alpha 90.00
_cell_angle_beta 90.00
_cell_angle_gamma 120.00
_symmetry_space_group_name_H-M 'R -3 m'
_symmetry_Int_Tables_number 166
_symmetry_space_group_name_Hall '-R 3 2"'
loop_
_atom_site_label
_atom_site_type_symbol
_atom_site_fract_x
_atom_site_fract_y
_atom_site_fract_z
Mg1 Mg 0.0000 0.0000 0.0000
Np1 Np 0.0000 0.0000 0.2008
Np2 Np 0.0000 0.0000 0.3970
P1 P 0.0000 0.0000 0.0980
P2 P 0.0000 0.0000 0.3014
P3 P 0.0000 0.0000 0.5000
```


Record 10
DFT (PBE-GGA) results for an optimized crystal structure of MgNp3P4.

Values from the calculation:
Total DFT energy (no corrections): -8.5072 eV/atom

Structure (CIF):
```
data_MgNp3P4
_chemical_formula_sum 'Mg1 Np3 P4'
_cell_length_a 5.560
_cell_length_b 5.560
_cell_length_c 5.560
_cell_angle_alpha 90.00
_cell_angle_beta 90.00
_cell_angle_gamma 90.00
_symmetry_space_group_name_H-M 'P m -3 m'
_symmetry_Int_Tables_number 221
_symmetry_space_group_name_Hall '-P 4 2 3'
loop_
_atom_site_label
_atom_site_type_symbol
_atom_site_fract_x
_atom_site_fract_y
_atom_site_fract_z
Mg1 Mg 0.000 0.000 0.000
Np1 Np 0.000 0.500 0.500
P1 P 0.000 0.000 0.500
P2 P 0.500 0.500 0.500
```


What did the eighth record say?
DFT (PBE-GGA) results for an optimized crystal structure of MgNpOsRh.

Values from the calculation:
Total DFT energy (no corrections): -8.4163 eV/atom

Structure (CIF):
```
data_MgNpOsRh
_chemical_formula_sum 'Mg4 Np4 Os4 Rh4'
_cell_length_a 6.540
_cell_length_b 6.540
_cell_length_c 6.540
_cell_angle_alpha 90.00
_cell_angle_beta 90.00
_cell_angle_gamma 90.00
_symmetry_space_group_name_H-M 'F -4 3 m'
_symmetry_Int_Tables_number 216
_symmetry_space_group_name_Hall 'F -4 2 3'
loop_
_atom_site_label
_atom_site_type_symbol
_atom_site_fract_x
_atom_site_fract_y
_atom_site_fract_z
Mg1 Mg 0.000 0.000 0.000
Np1 Np 0.000 0.000 0.500
Os1 Os 0.250 0.250 0.250
Rh1 Rh 0.250 0.250 0.750
```